(1)
The following is a DFT calculation (PBE) of a relaxed structure of Tb3Pr4Dy8.

It has space group C2/m (No. 12), with a = 13.489 Å, b = 12.871 Å, c = 6.798 Å, α = 90.00°, β = 120.08° and γ = 90.00°. Symmetry generates all atoms from Tb at (0.000, 0.000, 0.000), Tb at (0.250, 0.250, 0.500), Pr at (0.000, 0.500, 0.000), Pr at (0.000, 0.500, 0.500), Pr at (0.250, 0.250, 0.000), Dy at (0.000, 0.138, 0.500), Dy at (0.000, 0.243, 0.000), Dy at (0.229, 0.000, 0.961) and Dy at (0.232, 0.000, 0.487).

Its density of states at the Fermi level is 60.23 states/eV per cell. As for the energy relative to the lowest polymorph listed for this composition: 0.2411 eV per atom. For the energy relative to the elements, the calculation gives 0.3575 eV per atom.


(2)
The following is a DFT calculation (PBE) of a relaxed structure of V2InAsIr.

It has space group P4/mmm (No. 123), with a = 4.501 Å, b = 4.501 Å, c = 4.626 Å, α = 90.00°, β = 90.00° and γ = 90.00°. Symmetry generates all atoms from V at (0.000, 0.500, 0.000), In at (0.000, 0.000, 0.500), As at (0.500, 0.500, 0.000) and Ir at (0.500, 0.500, 0.500).

Its density of states at the Fermi level is 6.69 states/eV per cell. For the energy relative to the elements, the calculation gives 0.5614 eV per atom.